i | ! TlCoP2, optimized geometry, DFT PBE-GGA; values from VASP
&SYSTEM
  ibrav = 0, nat = 4, ntyp = 3
/
ATOMIC_SPECIES
Tl 204.38 Tl.upf
Co 58.93 Co.upf
P 30.97 P.upf
CELL_PARAMETERS angstrom
3.0400 0.0000 0.0000
0.0000 3.0400 0.0000
0.0000 0.0000 7.7071
ATOMIC_POSITIONS crystal
Tl 0.0000 0.0000 0.0000
Co 0.5000 0.5000 0.3198
P 0.0000 0.0000 0.4209
P 0.5000 0.5000 0.6105
! N(E_F): 0.53 states/eV/atom

***

ii | ! TlCoP2, optimized geometry, DFT PBE-GGA; values from VASP
&SYSTEM
  ibrav = 0, nat = 4, ntyp = 3
/
ATOMIC_SPECIES
Tl 204.38 Tl.upf
Co 58.93 Co.upf
P 30.97 P.upf
CELL_PARAMETERS angstrom
4.3493 0.0000 0.0000
0.0000 3.6675 0.0000
-1.9849 0.0000 4.7050
ATOMIC_POSITIONS crystal
Tl 0.0000 0.0000 0.0000
Co 0.5000 0.0000 0.5000
P 0.2760 0.5000 0.5994
P 0.7240 0.5000 0.4006
! N(E_F): 0.52 states/eV/atom

***

iii | ! TlCoP2, optimized geometry, DFT PBE-GGA; values from VASP
&SYSTEM
  ibrav = 0, nat = 4, ntyp = 3
/
ATOMIC_SPECIES
Tl 204.38 Tl.upf
Co 58.93 Co.upf
P 30.97 P.upf
CELL_PARAMETERS angstrom
2.6027 -3.7193 0.0000
2.6027 3.7193 0.0000
0.0000 0.0000 3.5178
ATOMIC_POSITIONS crystal
Tl 0.0000 0.0000 0.0000
Co 0.5000 0.5000 0.0000
P 0.0000 0.5000 0.5000
P 0.5000 0.0000 0.5000
! N(E_F): 0.87 states/eV/atom

***

iv | ! TlCoP2, optimized geometry, DFT PBE-GGA; values from VASP
&SYSTEM
  ibrav = 0, nat = 4, ntyp = 3
/
ATOMIC_SPECIES
Tl 204.38 Tl.upf
Co 58.93 Co.upf
P 30.97 P.upf
CELL_PARAMETERS angstrom
-2.0560 2.0560 3.9009
2.0560 -2.0560 3.9009
2.0560 2.0560 -3.9009
ATOMIC_POSITIONS crystal
Tl 0.0000 0.0000 0.0000
Co 0.2500 0.7500 0.5000
P 0.5000 0.5000 0.0000
P 0.7500 0.2500 0.5000
! N(E_F): 0.82 states/eV/atom

***

We find ii to be the most stable, with the next structure 24.6 kJ/mol of atoms higher.

***

i | ! Tl2Co2P, optimized geometry, DFT PBE-GGA; values from VASP
&SYSTEM
  ibrav = 0, nat = 10, ntyp = 3
/
ATOMIC_SPECIES
Tl 204.38 Tl.upf
Co 58.93 Co.upf
P 30.97 P.upf
CELL_PARAMETERS angstrom
5.7954 0.0000 0.0000
0.0000 5.7954 0.0000
0.0000 0.0000 5.5292
ATOMIC_POSITIONS crystal
Tl 0.1868 0.3132 0.0000
Tl 0.3132 0.8132 0.0000
Tl 0.6868 0.1868 0.0000
Tl 0.8132 0.6868 0.0000
Co 0.1566 0.6566 0.5000
Co 0.3434 0.1566 0.5000
Co 0.6566 0.8434 0.5000
Co 0.8434 0.3434 0.5000
P 0.0000 0.0000 0.5000
P 0.5000 0.5000 0.5000
! N(E_F): 0.88 states/eV/atom

***

ii | ! Tl2Co2P, optimized geometry, DFT PBE-GGA; values from VASP
&SYSTEM
  ibrav = 0, nat = 5, ntyp = 3
/
ATOMIC_SPECIES
Tl 204.38 Tl.upf
Co 58.93 Co.upf
P 30.97 P.upf
CELL_PARAMETERS angstrom
-2.0576 2.0576 5.9168
2.0576 -2.0576 5.9168
2.0576 2.0576 -5.9168
ATOMIC_POSITIONS crystal
Tl 0.2500 0.7500 0.5000
Tl 0.7500 0.2500 0.5000
Co 0.0903 0.0903 0.0000
Co 0.9097 0.9097 0.0000
P 0.5000 0.5000 0.0000
! N(E_F): 1.31 states/eV/atom

***

We find i to be the most stable, with the next structure 63.3 kJ/mol of atoms higher.

***

i | ! TlCoP, optimized geometry, DFT PBE-GGA; values from VASP
&SYSTEM
  ibrav = 0, nat = 3, ntyp = 3
/
ATOMIC_SPECIES
Tl 204.38 Tl.upf
Co 58.93 Co.upf
P 30.97 P.upf
CELL_PARAMETERS angstrom
-1.4860 1.4860 6.1967
1.4860 -1.4860 6.1967
1.4860 1.4860 -6.1967
ATOMIC_POSITIONS crystal
Tl 0.0000 0.0000 0.0000
Co 0.6967 0.6967 0.0000
P 0.2695 0.2695 0.0000
! N(E_F): 0.52 states/eV/atom

***

ii | ! TlCoP, optimized geometry, DFT PBE-GGA; values from VASP
&SYSTEM
  ibrav = 0, nat = 3, ntyp = 3
/
ATOMIC_SPECIES
Tl 204.38 Tl.upf
Co 58.93 Co.upf
P 30.97 P.upf
CELL_PARAMETERS angstrom
3.4024 0.0000 0.0000
-1.7012 2.9465 0.0000
0.0000 0.0000 5.5748
ATOMIC_POSITIONS crystal
Tl 0.0000 0.0000 0.0000
Co 0.6667 0.3333 0.6056
P 0.3333 0.6667 0.4472
! N(E_F): 0.53 states/eV/atom

***

iii | ! TlCoP, optimized geometry, DFT PBE-GGA; values from VASP
&SYSTEM
  ibrav = 0, nat = 3, ntyp = 3
/
ATOMIC_SPECIES
Tl 204.38 Tl.upf
Co 58.93 Co.upf
P 30.97 P.upf
CELL_PARAMETERS angstrom
0.0000 2.9791 2.9791
2.9791 0.0000 2.9791
2.9791 2.9791 0.0000
ATOMIC_POSITIONS crystal
Tl 0.0000 0.0000 0.0000
Co 0.2500 0.2500 0.2500
P 0.5000 0.5000 0.5000
! N(E_F): 1.13 states/eV/atom

***

iv | ! TlCoP, optimized geometry, DFT PBE-GGA; values from VASP
&SYSTEM
  ibrav = 0, nat = 6, ntyp = 3
/
ATOMIC_SPECIES
Tl 204.38 Tl.upf
Co 58.93 Co.upf
P 30.97 P.upf
CELL_PARAMETERS angstrom
3.8199 0.0000 0.0000
0.0000 3.8199 0.0000
0.0000 0.0000 8.2656
ATOMIC_POSITIONS crystal
Tl 0.2500 0.2500 0.1683
Tl 0.7500 0.7500 0.8317
Co 0.2500 0.7500 0.5000
Co 0.7500 0.2500 0.5000
P 0.2500 0.2500 0.6367
P 0.7500 0.7500 0.3633
! N(E_F): 0.49 states/eV/atom

***

We find iv to be the most stable, with the next structure 31.3 kJ/mol of atoms higher.